First-principles (GGA-PBE) data for an optimized crystal structure of TaAsIr2, as listed in Alexandria via LeMat-Bulk.

The size of the total moment is 0.0 μB/f.u. As for the energy of formation from the pure elements: 3.251 kcal/mol of atoms.

The structure belongs to space group I-42d (No. 122); the cell edges are 5.670, 5.670 and 11.170 Å and the angles 90.00°, 90.00° and 90.00°. The asymmetric unit holds Ta at (0.000, 0.000, 0.000), As at (0.000, 0.000, 0.500) and Ir at (0.231, 0.250, 0.625).

***

First-principles (GGA-PBE) data for an optimized crystal structure of TaAsIr2, as listed in Alexandria via LeMat-Bulk.

The size of the total moment is 0.0 μB/f.u. As for the energy of formation from the pure elements: -4.403 kcal/mol of atoms.

The structure belongs to space group C2/m (No. 12); the cell edges are 9.444, 2.861 and 4.678 Å and the angles 90.00°, 94.79° and 90.00°. The asymmetric unit holds Ta at (0.000, 0.000, 0.000), As at (0.000, 0.500, 0.500) and Ir at (0.238, 0.500, 0.242).

***

First-principles (GGA-PBE) data for an optimized crystal structure of Ta2AsIr, as listed in Alexandria via LeMat-Bulk.

The size of the total moment is 0.0 μB/f.u. As for the energy of formation from the pure elements: -5.672 kcal/mol of atoms.

The structure belongs to space group C2/m (No. 12); the cell edges are 5.839, 7.546 and 3.054 Å and the angles 90.00°, 98.88° and 90.00°. The asymmetric unit holds Ta at (0.250, 0.250, 0.000), As at (0.000, 0.000, 0.500) and Ir at (0.000, 0.500, 0.500).

***

First-principles (GGA-PBE) data for an optimized crystal structure of Ta2As2Ir, as listed in Alexandria via LeMat-Bulk.

The size of the total moment is 0.0 μB/f.u. As for the energy of formation from the pure elements: -1.280 kcal/mol of atoms.

The structure belongs to space group P4/mbm (No. 127); the cell edges are 7.074, 7.074 and 3.318 Å and the angles 90.00°, 90.00° and 90.00°. The asymmetric unit holds Ta at (0.144, 0.356, 0.000), As at (0.154, 0.654, 0.500) and Ir at (0.000, 0.000, 0.500).